# 1
Here is crystalline Tm2BiPd8 at its relaxed geometry from Alexandria via LeMat-Bulk. Energies are from PBE.

Values from the calculation:
V	18.577	Å³/atom
raw total energy	-5.5429	eV/atom
symmetry	No. 12
ΔE_f	-0.600	eV/atom
crystal system	monoclinic

Lattice parameters (Å, degrees): 4.757 5.928 8.179 111.19 106.91 90.00
Fractional coordinates of all 11 atoms:
Tm: 0.813 0.313 0.625
Pd: 0.182 0.182 0.364
Tm: 0.187 0.687 0.375
Pd: 0.000 0.741 0.000
Pd: 0.000 0.259 0.000
Pd: 0.354 0.116 0.707
Pd: 0.646 0.409 0.292
Pd: 0.646 0.884 0.293
Pd: 0.354 0.591 0.708
Pd: 0.818 0.818 0.636
Bi: 0.500 0.000 0.000


# 2
Here is crystalline TmBi2Pd at its relaxed geometry from Alexandria via LeMat-Bulk. Energies are from PBE.

Values from the calculation:
V	27.807	Å³/atom
raw total energy	-4.4146	eV/atom
symmetry	No. 166
ΔE_f	-0.058	eV/atom
crystal system	trigonal

Lattice parameters (Å, degrees): 3.527 3.527 10.522 80.35 80.35 60.00
Fractional coordinates of all 4 atoms:
Bi: 0.899 0.899 0.304
Bi: 0.101 0.101 0.696
Tm: 0.000 0.000 0.000
Pd: 0.500 0.500 0.500


# 3
Here is crystalline TmBi2Pd8 at its relaxed geometry from Alexandria via LeMat-Bulk. Energies are from PBE.

Values from the calculation:
V	18.137	Å³/atom
raw total energy	-5.3532	eV/atom
symmetry	No. 12
ΔE_f	-0.464	eV/atom
crystal system	monoclinic

Lattice parameters (Å, degrees): 4.153 6.662 7.905 108.33 105.23 90.00
Fractional coordinates of all 11 atoms:
Bi: 0.792 0.340 0.585
Pd: 0.416 0.545 0.831
Pd: 0.584 0.455 0.169
Pd: 0.962 0.268 0.923
Pd: 0.038 0.732 0.077
Pd: 0.677 0.921 0.353
Bi: 0.208 0.660 0.415
Tm: 0.500 0.000 0.000
Pd: 0.137 0.190 0.275
Pd: 0.323 0.079 0.647
Pd: 0.863 0.810 0.725


# 4
Here is crystalline UBiPd2 at its relaxed geometry from Alexandria via LeMat-Bulk. Energies are from PBE.

Values from the calculation:
V	21.281	Å³/atom
raw total energy	-6.5790	eV/atom
symmetry	No. 123
ΔE_f	-0.190	eV/atom
crystal system	tetragonal

Lattice parameters (Å, degrees): 3.315 3.315 7.745 90.00 90.00 90.00
Each line ends with the local moment (μB).
Fractional coordinates of all 4 atoms:
U: 0.500 0.500 0.500  1.09
Pd: 0.000 0.000 0.730  -0.07
Pd: 0.000 0.000 0.270  -0.07
Bi: 0.500 0.500 0.000  -0.01


# 5
Here is crystalline U2BiPd8 at its relaxed geometry from Alexandria via LeMat-Bulk. Energies are from PBE.

Values from the calculation:
V	18.933	Å³/atom
raw total energy	-6.4809	eV/atom
symmetry	No. 71
ΔE_f	-0.299	eV/atom
crystal system	orthorhombic

Lattice parameters (Å, degrees): 4.028 8.462 7.700 123.33 105.16 90.00
Each line ends with the local moment (μB).
Fractional coordinates of all 11 atoms:
Pd: 0.337 0.579 0.673  -0.05
Pd: 0.177 0.177 0.353  -0.03
Pd: 0.000 0.735 0.000  -0.04
Pd: 0.336 0.094 0.673  -0.05
U: 0.840 0.340 0.681  1.74
U: 0.160 0.660 0.319  1.74
Pd: 0.663 0.421 0.327  -0.05
Pd: 0.823 0.823 0.647  -0.03
Pd: 0.000 0.265 0.000  -0.04
Bi: 0.500 0.000 0.000  0.00
Pd: 0.664 0.906 0.327  -0.05


# 6
Here is crystalline U4BiPd15 at its relaxed geometry from Alexandria via LeMat-Bulk. Energies are from PBE.

Values from the calculation:
V	17.929	Å³/atom
raw total energy	-6.8031	eV/atom
symmetry	No. 123
ΔE_f	-0.457	eV/atom
crystal system	tetragonal

Lattice parameters (Å, degrees): 4.158 4.158 20.738 90.00 90.00 90.00
Each line ends with the local moment (μB).
Fractional coordinates of all 20 atoms:
Pd: 0.500 0.000 0.896  -0.01
Pd: 0.500 0.500 0.400  -0.01
Pd: 0.500 0.500 0.799  -0.03
Pd: 0.500 0.500 0.600  -0.01
Pd: 0.500 0.000 0.500  -0.02
Pd: 0.500 0.000 0.104  -0.01
Pd: 0.000 0.500 0.104  -0.01
U: 0.000 0.000 0.199  1.91
Pd: 0.000 0.500 0.500  -0.02
Pd: 0.000 0.500 0.896  -0.01
Pd: 0.000 0.500 0.300  -0.02
Bi: 0.000 0.000 0.000  0.03
Pd: 0.500 0.500 0.000  0.04
Pd: 0.500 0.500 0.201  -0.03
U: 0.000 0.000 0.400  2.08
Pd: 0.500 0.000 0.300  -0.02
U: 0.000 0.000 0.600  2.08
Pd: 0.500 0.000 0.700  -0.02
U: 0.000 0.000 0.801  1.91
Pd: 0.000 0.500 0.700  -0.02


# 7
Here is crystalline U2BiPd9 at its relaxed geometry from Alexandria via LeMat-Bulk. Energies are from PBE.

Values from the calculation:
V	17.824	Å³/atom
raw total energy	-6.5269	eV/atom
symmetry	No. 123
ΔE_f	-0.427	eV/atom
crystal system	tetragonal

Lattice parameters (Å, degrees): 4.154 4.154 12.395 90.00 90.00 90.00
Each line ends with the local moment (μB).
Fractional coordinates of all 12 atoms:
Pd: 0.500 0.500 0.335  -0.03
Pd: 0.000 0.500 0.826  -0.01
Pd: 0.500 0.000 0.826  -0.01
Pd: 0.500 0.500 0.000  0.05
Pd: 0.000 0.500 0.174  -0.01
Pd: 0.500 0.000 0.174  -0.01
Pd: 0.000 0.500 0.500  -0.03
U: 0.000 0.000 0.668  1.93
Pd: 0.500 0.500 0.665  -0.03
U: 0.000 0.000 0.332  1.93
Bi: 0.000 0.000 0.000  0.04
Pd: 0.500 0.000 0.500  -0.03


# 8
Here is crystalline UBiPd2 at its relaxed geometry from Alexandria via LeMat-Bulk. Energies are from PBE.

Values from the calculation:
V	21.685	Å³/atom
raw total energy	-6.5310	eV/atom
symmetry	No. 123
ΔE_f	-0.142	eV/atom
crystal system	tetragonal

Lattice parameters (Å, degrees): 3.941 4.691 4.691 90.00 90.00 90.00
Each line ends with the local moment (μB).
Fractional coordinates of all 4 atoms:
Pd: 0.000 0.500 0.000  0.01
Bi: 0.500 0.000 0.000  0.00
Pd: 0.000 0.000 0.500  0.01
U: 0.500 0.500 0.500  2.49


# 9
Here is crystalline UBiPd14 at its relaxed geometry from Alexandria via LeMat-Bulk. Energies are from PBE.

Values from the calculation:
V	16.442	Å³/atom
raw total energy	-5.7316	eV/atom
symmetry	No. 123
ΔE_f	-0.240	eV/atom
crystal system	tetragonal

Lattice parameters (Å, degrees): 5.812 5.812 7.789 90.00 90.00 90.00
Each line ends with the local moment (μB).
Fractional coordinates of all 16 atoms:
Pd: 0.375 0.375 0.000  -0.01
U: 0.375 0.375 0.500  -0.41
Bi: 0.875 0.875 0.500  0.00
Pd: 0.375 0.875 0.000  0.01
Pd: 0.130 0.130 0.248  0.01
Pd: 0.620 0.130 0.248  0.01
Pd: 0.130 0.620 0.752  0.01
Pd: 0.875 0.875 0.000  0.03
Pd: 0.620 0.130 0.752  0.01
Pd: 0.875 0.375 0.500  0.01
Pd: 0.875 0.375 0.000  0.01
Pd: 0.130 0.620 0.248  0.01
Pd: 0.620 0.620 0.752  0.01
Pd: 0.130 0.130 0.752  0.01
Pd: 0.375 0.875 0.500  0.01
Pd: 0.620 0.620 0.248  0.01


# 10
Here is crystalline UBi4Pd15 at its relaxed geometry from Alexandria via LeMat-Bulk. Energies are from PBE.

Values from the calculation:
V	17.775	Å³/atom
raw total energy	-5.5290	eV/atom
symmetry	No. 123
ΔE_f	-0.294	eV/atom
crystal system	tetragonal

Lattice parameters (Å, degrees): 4.149 4.149 20.654 90.00 90.00 90.00
Each line ends with the local moment (μB).
Fractional coordinates of all 20 atoms:
Pd: 0.500 0.500 0.198  0.03
Pd: 0.500 0.000 0.095  -0.03
Pd: 0.500 0.500 0.400  0.02
Pd: 0.000 0.500 0.700  0.02
Bi: 0.000 0.000 0.798  0.02
Pd: 0.500 0.000 0.905  -0.03
Pd: 0.500 0.000 0.300  0.02
Pd: 0.500 0.000 0.500  0.01
Bi: 0.000 0.000 0.202  0.02
Pd: 0.500 0.500 0.600  0.02
Pd: 0.000 0.500 0.500  0.01
U: 0.000 0.000 0.000  1.68
Bi: 0.000 0.000 0.600  0.01
Pd: 0.500 0.500 0.802  0.03
Pd: 0.500 0.000 0.700  0.02
Pd: 0.000 0.500 0.095  -0.03
Bi: 0.000 0.000 0.400  0.01
Pd: 0.000 0.500 0.905  -0.03
Pd: 0.000 0.500 0.300  0.02
Pd: 0.500 0.500 0.000  -0.04


# 11
Here is crystalline V2BiPd at its relaxed geometry from Alexandria via LeMat-Bulk. Energies are from PBE.

Values from the calculation:
V	18.339	Å³/atom
raw total energy	-6.3160	eV/atom
symmetry	No. 122
ΔE_f	0.512	eV/atom
crystal system	tetragonal

Lattice parameters (Å, degrees): 7.290 7.290 5.848 51.44 51.44 90.00
Fractional coordinates of all 8 atoms:
V: 0.603 0.125 0.250
Pd: 0.250 0.750 0.500
V: 0.375 0.397 0.750
Bi: 0.000 0.000 0.000
Pd: 0.500 0.500 0.000
V: 0.875 0.853 0.750
V: 0.147 0.625 0.250
Bi: 0.750 0.250 0.500


# 12
Here is crystalline VBiPd2 at its relaxed geometry from Alexandria via LeMat-Bulk. Energies are from PBE.

Values from the calculation:
V	17.765	Å³/atom
raw total energy	-5.8818	eV/atom
symmetry	No. 123
ΔE_f	-0.036	eV/atom
crystal system	tetragonal

Lattice parameters (Å, degrees): 4.163 4.131 4.131 90.00 90.00 90.00
Each line ends with the local moment (μB).
Fractional coordinates of all 4 atoms:
Pd: 0.000 0.500 0.000  -0.01
Bi: 0.500 0.000 0.000  -0.10
V: 0.500 0.500 0.500  2.14
Pd: 0.000 0.000 0.500  -0.01


# 13
Here is crystalline VBi2Pd at its relaxed geometry from Alexandria via LeMat-Bulk. Energies are from PBE.

Values from the calculation:
V	24.874	Å³/atom
raw total energy	-5.0753	eV/atom
symmetry	No. 166
ΔE_f	0.443	eV/atom
crystal system	trigonal

Lattice parameters (Å, degrees): 3.424 3.424 9.998 80.14 80.14 60.00
Each line ends with the local moment (μB).
Fractional coordinates of all 4 atoms:
Bi: 0.905 0.905 0.286  -0.01
V: 0.000 0.000 0.000  2.73
Pd: 0.500 0.500 0.500  0.01
Bi: 0.095 0.095 0.714  -0.01


# 14
Here is crystalline VBi2Pd at its relaxed geometry from Alexandria via LeMat-Bulk. Energies are from PBE.

Values from the calculation:
V	22.142	Å³/atom
raw total energy	-5.3208	eV/atom
symmetry	No. 225
ΔE_f	0.198	eV/atom
crystal system	cubic

Lattice parameters (Å, degrees): 5.003 5.003 5.003 60.00 60.00 60.00
Each line ends with the local moment (μB).
Fractional coordinates of all 4 atoms:
Pd: 0.500 0.500 0.500  0.12
Bi: 0.250 0.250 0.250  0.02
V: 0.000 0.000 0.000  2.71
Bi: 0.750 0.750 0.750  0.02


# 15
Here is crystalline VBiPd2 at its relaxed geometry from Alexandria via LeMat-Bulk. Energies are from PBE.

Values from the calculation:
V	18.320	Å³/atom
raw total energy	-5.9385	eV/atom
symmetry	No. 123
ΔE_f	-0.092	eV/atom
crystal system	tetragonal

Lattice parameters (Å, degrees): 3.313 3.313 6.677 90.00 90.00 90.00
Each line ends with the local moment (μB).
Fractional coordinates of all 4 atoms:
V: 0.500 0.500 0.000  1.63
Bi: 0.500 0.500 0.500  -0.03
Pd: 0.000 0.000 0.794  0.04
Pd: 0.000 0.000 0.206  0.04


# 16
Here is crystalline V2BiPd9 at its relaxed geometry from Alexandria via LeMat-Bulk. Energies are from PBE.

Values from the calculation:
V	15.793	Å³/atom
raw total energy	-5.9580	eV/atom
symmetry	No. 123
ΔE_f	-0.220	eV/atom
crystal system	tetragonal

Lattice parameters (Å, degrees): 3.973 3.973 12.006 90.00 90.00 90.00
Each line ends with the local moment (μB).
Fractional coordinates of all 12 atoms:
Pd: 0.500 0.500 0.659  -0.07
Pd: 0.000 0.500 0.816  -0.02
Pd: 0.500 0.500 0.000  0.07
Pd: 0.000 0.500 0.184  -0.02
Pd: 0.500 0.000 0.500  -0.07
V: 0.000 0.000 0.661  1.32
V: 0.000 0.000 0.339  1.32
Pd: 0.500 0.500 0.341  -0.07
Pd: 0.500 0.000 0.184  -0.02
Pd: 0.000 0.500 0.500  -0.07
Pd: 0.500 0.000 0.816  -0.02
Bi: 0.000 0.000 0.000  0.03


# 17
Here is crystalline VBi2Pd at its relaxed geometry from Alexandria via LeMat-Bulk. Energies are from PBE.

Values from the calculation:
V	24.801	Å³/atom
raw total energy	-5.2154	eV/atom
symmetry	No. 122
ΔE_f	0.303	eV/atom
crystal system	tetragonal

Lattice parameters (Å, degrees): 4.674 4.674 9.665 76.01 76.01 90.00
Each line ends with the local moment (μB).
Fractional coordinates of all 8 atoms:
Pd: 0.750 0.250 0.500  -0.08
Bi: 0.375 0.373 0.750  -0.05
Bi: 0.123 0.625 0.250  -0.05
Bi: 0.627 0.125 0.250  -0.05
Bi: 0.875 0.877 0.750  -0.05
Pd: 0.000 0.000 0.000  -0.08
V: 0.250 0.750 0.500  2.44
V: 0.500 0.500 0.000  2.44


# 18
Here is crystalline VBi3Pd12 at its relaxed geometry from Alexandria via LeMat-Bulk. Energies are from PBE.

Values from the calculation:
V	16.999	Å³/atom
raw total energy	-5.4161	eV/atom
symmetry	No. 123
ΔE_f	-0.224	eV/atom
crystal system	tetragonal

Lattice parameters (Å, degrees): 4.074 4.074 16.388 90.00 90.00 90.00
Each line ends with the local moment (μB).
Fractional coordinates of all 16 atoms:
Pd: 0.500 0.500 0.000  -0.06
Pd: 0.500 0.500 0.500  0.03
Pd: 0.500 0.000 0.112  -0.02
Pd: 0.500 0.000 0.372  0.04
V: 0.000 0.000 0.000  1.59
Pd: 0.500 0.500 0.244  0.05
Bi: 0.000 0.000 0.500  0.02
Pd: 0.000 0.500 0.372  0.04
Bi: 0.000 0.000 0.759  0.03
Pd: 0.000 0.500 0.888  -0.02
Pd: 0.000 0.500 0.628  0.04
Pd: 0.500 0.500 0.756  0.05
Pd: 0.500 0.000 0.888  -0.02
Pd: 0.500 0.000 0.628  0.04
Bi: 0.000 0.000 0.241  0.03
Pd: 0.000 0.500 0.112  -0.02


# 19
Here is crystalline VBi3Pd at its relaxed geometry from Alexandria via LeMat-Bulk. Energies are from PBE.

Values from the calculation:
V	28.202	Å³/atom
raw total energy	-4.6696	eV/atom
symmetry	No. 221
ΔE_f	0.521	eV/atom
crystal system	cubic

Lattice parameters (Å, degrees): 5.205 5.205 5.205 90.00 90.00 90.00
Fractional coordinates of all 5 atoms:
V: 0.000 0.000 0.000
Pd: 0.500 0.500 0.500
Bi: 0.000 0.000 0.500
Bi: 0.000 0.500 0.000
Bi: 0.500 0.000 0.000


# 20
Here is crystalline V3BiPd at its relaxed geometry from Alexandria via LeMat-Bulk. Energies are from PBE.

Values from the calculation:
V	21.499	Å³/atom
raw total energy	-6.3193	eV/atom
symmetry	No. 221
ΔE_f	0.967	eV/atom
crystal system	cubic

Lattice parameters (Å, degrees): 4.755 4.755 4.755 90.00 90.00 90.00
Each line ends with the local moment (μB).
Fractional coordinates of all 5 atoms:
Pd: 0.000 0.000 0.000  -0.08
V: 0.000 0.000 0.500  1.65
V: 0.500 0.000 0.000  1.65
V: 0.000 0.500 0.000  1.65
Bi: 0.500 0.500 0.500  -0.19


| no. | calculated density (g cm⁻³) |
| --- | --- |
| 1 | 11.4 |
| 2 | 10.4 |
| 3 | 12.0 |
| 4 | 12.9 |
| 5 | 12.3 |
| 6 | 12.8 |
| 7 | 12.8 |
| 8 | 12.6 |
| 9 | 12.2 |
| 10 | 12.5 |
| 11 | 9.4 |
| 12 | 11.0 |
| 13 | 9.6 |
| 14 | 10.8 |
| 15 | 10.7 |
| 16 | 11.1 |
| 17 | 9.6 |
| 18 | 11.9 |
| 19 | 9.2 |
| 20 | 7.2 |